# 1
The following is a DFT calculation (PBE-GGA) of PmSmSc2Bi4 after structural relaxation.

Summary:
Mass density   8.30 g cm⁻³
Total moment   0.0 μB per formula unit
ΔE_f   -0.7872 eV/atom

Cell: 7.6368 4.4267 7.6677 Å, 90.00 109.54 90.00°
With the nearest neighbours (Å) after each atom.
Sites, in units of the cell vectors:
Pm  0.0000  0.0000  0.0000  6 Bi 3.22
Sm  0.0000  0.5000  0.5000  6 Bi 3.21
Sc  0.5000  0.0000  0.5000  6 Bi 3.04
Sc  0.5000  0.5000  0.0000  6 Bi 3.04-3.05
Bi  0.2705  0.0000  0.7561  3 Sc 3.04-3.05, 2 Sm 3.21, 1 Pm 3.22
Bi  0.2710  0.5000  0.2575  3 Sc 3.04, 1 Sm 3.21, 2 Pm 3.22
Bi  0.7290  0.5000  0.7425  3 Sc 3.04, 1 Sm 3.21, 2 Pm 3.22
Bi  0.7295  0.0000  0.2439  3 Sc 3.04-3.05, 2 Sm 3.21, 1 Pm 3.22



# 2
The following is a DFT calculation (PBE-GGA) of ThGa5Pd2Au after structural relaxation.

Summary:
Mass density   8.52 g cm⁻³
Total moment   0.0 μB per formula unit
ΔE_f   -0.2881 eV/atom

Cell: 4.2788 4.2788 10.5442 Å, 90.00 90.00 90.00°
With the nearest neighbours (Å) after each atom.
Sites, in units of the cell vectors:
Th  0.0000  0.0000  0.0000  4 Ga 3.03
Ga  0.0000  0.5000  0.3454  2 Pd 2.49, 2 Au 2.69
Ga  0.0000  0.5000  0.6546  2 Pd 2.49, 2 Au 2.69
Ga  0.5000  0.0000  0.3454  2 Pd 2.49, 2 Au 2.69
Ga  0.5000  0.0000  0.6546  2 Pd 2.49, 2 Au 2.69
Ga  0.5000  0.5000  0.0000  2 Pd 2.36
Pd  0.5000  0.5000  0.2239  5 Ga 2.36-2.49
Pd  0.5000  0.5000  0.7761  5 Ga 2.36-2.49
Au  0.0000  0.0000  0.5000  8 Ga 2.69



# 3
The following is a DFT calculation (PBE-GGA) of Na3SbPt after structural relaxation.

Summary:
Mass density   4.02 g cm⁻³
Energy   -13.0 eV per formula unit
Total moment   2.0 μB per formula unit

Cell: 5.4221 5.4221 5.4221 Å, 90.00 90.00 90.00°
With the nearest neighbours (Å) after each atom.
Sites, in units of the cell vectors:
Na  0.0000  0.0000  0.5000  2 Pt 2.71
Na  0.0000  0.5000  0.0000  2 Pt 2.71
Na  0.5000  0.0000  0.0000  2 Pt 2.71
Sb  0.5000  0.5000  0.5000  12 Na 3.83
Pt  0.0000  0.0000  0.0000  6 Na 2.71